A plane-wave DFT calculation with PBE was carried out for a geometry-optimized LaBeRu3 structure.

- DOS(E_F) (states/eV/cell) = 5.6
- energy of formation (eV per atom) = 0.1283
- relative energy among the computed polymorphs (eV/atom) = 0.000

Cell: 4.337 4.337 4.337 Å, 90.00 90.00 90.00°
Space group Pm-3m (No. 221)
Asymmetric unit:
La 0.000 0.000 0.000 x1
Be 0.500 0.500 0.500 x1
Ru 0.000 0.500 0.500 x3


A plane-wave DFT calculation with PBE was carried out for a geometry-optimized Y2PO structure.

- DOS(E_F) (states/eV/cell) = 7.4
- formation energy without anion corrections (meV/atom) = -1920
- relative energy among the computed polymorphs (eV/atom) = 0.333

Cell: 3.6532 3.6532 19.5823 Å, 90.00 90.00 120.00°
Space group R3m (No. 160, hexagonal axes)
Asymmetric unit:
Y 0.0000 0.0000 0.0000 x3
Y 0.0000 0.0000 0.1617 x3
P 0.0000 0.0000 0.5809 x3
O 0.0000 0.0000 0.4084 x3


A plane-wave DFT calculation with PBE was carried out for a geometry-optimized NpPaIr2 structure.

- DOS(E_F) (states/eV/cell) = 35.0
- energy of formation (eV per atom) = -0.5212
- relative energy among the computed polymorphs (eV/atom) = 0.000

Cell: 4.0008 4.0008 19.3291 Å, 90.00 90.00 120.00°
Space group R-3m (No. 166, hexagonal axes)
Asymmetric unit:
Np 0.0000 0.0000 0.0000 x3
Pa 0.0000 0.0000 0.5000 x3
Ir 0.0000 0.0000 0.2511 x6


A plane-wave DFT calculation with PBE was carried out for a geometry-optimized CoHCS structure.

- DOS(E_F) (states/eV/cell) = 2.3
- relative energy among the computed polymorphs (eV/atom) = 0.000

Cell: 3.484 3.597 3.864 Å, 115.51 100.79 93.04°
Space group P1 (No. 1)
Asymmetric unit:
Co 0.000 0.000 0.000 x1
H 0.511 0.315 0.756 x1
C 0.464 0.025 0.786 x1
S 0.090 0.683 0.383 x1